[1]
## Ta3Be8Cr (PBE-GGA)

Data for an optimized crystal structure of Ta3Be8Cr.

Values from the calculation:
SG: R3m, No. 160
D(E_F): 6.014 states/eV/cell
Electronic total energy: -6.4504 eV/atom
Formation enthalpy at 0 K: -201 meV per atom
Total magnetization: 0.00 μB per cell

Unit cell a=7.8392 b=7.8392 c=7.8392 alpha=33.50 beta=33.50 gamma=33.50
Sites, in units of the cell vectors:
Ta: 0.0000 0.0000 0.0000
Ta: 0.1278 0.1278 0.1278
Ta: 0.5075 0.5075 0.5075
Be: 0.0627 0.5654 0.5654
Be: 0.0678 0.0678 0.5656
Be: 0.0678 0.5656 0.0678
Be: 0.3159 0.3159 0.3159
Be: 0.5654 0.0627 0.5654
Be: 0.5654 0.5654 0.0627
Be: 0.5656 0.0678 0.0678
Be: 0.8153 0.8153 0.8153
Cr: 0.6285 0.6285 0.6285


[2]
## Ta3BeCr (PBE-GGA)

Data for an optimized crystal structure of Ta3BeCr.

Values from the calculation:
Offset from the most stable computed form: 0 meV per atom
SG: Pm-3m, No. 221
D(E_F): 4.438 states/eV/cell
Electronic total energy: -8.9426 eV/atom
Formation enthalpy at 0 K: 839 meV per atom
Total magnetization: 0.00 μB per cell

Unit cell a=4.3633 b=4.3633 c=4.3633 alpha=90.00 beta=90.00 gamma=90.00
Sites, in units of the cell vectors:
Ta: 0.0000 0.0000 0.5000
Ta: 0.0000 0.5000 0.0000
Ta: 0.5000 0.0000 0.0000
Be: 0.0000 0.0000 0.0000
Cr: 0.5000 0.5000 0.5000


Question: electronic total energy of number 1 (Ta3Be8Cr)?
Answer: -6.4504 eV/atom


Question: The highest D(E_F) belongs to which entry?
Answer: Ta3Be8Cr


Question: What is the D(E_F) in the first record?
Answer: 6.014 states/eV/cell